[1]
Compound: LaPCS2
Source: Alexandria via LeMat-Bulk
Functional: PBE
Structure: optimized geometry

Results
energy above the lowest structure with this stoichiometry = 0 meV/atom
formation energy from raw total energies = 6 kJ/mol of formula units

abc: 4.6895 4.6895 3.9071
angles: 90.00 90.00 90.00
Atoms (fractional coordinates):
S: 0.0000 0.5000 0.0000
S: 0.5000 0.0000 0.0000
La: 0.5000 0.5000 0.5000
C: 0.0000 0.0000 0.0000
P: 0.0000 0.0000 0.5000

[2]
Compound: LaPCS2
Source: Alexandria via LeMat-Bulk
Functional: PBE
Structure: optimized geometry

Results
energy above the lowest structure with this stoichiometry = 1598 meV/atom
formation energy from raw total energies = 777 kJ/mol of formula units

abc: 5.5788 5.5788 5.9241
angles: 90.00 90.00 90.00
Atoms (fractional coordinates):
C: 0.5000 0.5000 0.5000
La: 0.0000 0.0000 0.0000
S: 0.0000 0.5000 0.0000
S: 0.5000 0.0000 0.0000
P: 0.0000 0.0000 0.5000

[3]
Compound: LaPC2S
Source: Alexandria via LeMat-Bulk
Functional: PBE
Structure: optimized geometry

Results
formation energy from raw total energies = 1178 kJ/mol of formula units

abc: 4.4118 6.1381 4.4118
angles: 90.00 90.00 90.00
Atoms (fractional coordinates):
S: 0.5000 0.5000 0.5000
C: 0.0000 0.0000 0.5000
C: 0.5000 0.0000 0.0000
La: 0.0000 0.0000 0.0000
P: 0.0000 0.5000 0.0000

[4]
Compound: LaP2CS
Source: Alexandria via LeMat-Bulk
Functional: PBE
Structure: optimized geometry

Results
energy above the lowest structure with this stoichiometry = 1860 meV/atom
formation energy from raw total energies = 961 kJ/mol of formula units

abc: 5.7463 5.7463 5.4172
angles: 90.00 90.00 90.00
Atoms (fractional coordinates):
C: 0.5000 0.5000 0.5000
S: 0.0000 0.0000 0.5000
P: 0.5000 0.0000 0.0000
P: 0.0000 0.5000 0.0000
La: 0.0000 0.0000 0.0000

[5]
Compound: La6P2CSe3
Source: Alexandria via LeMat-Bulk
Functional: PBE
Structure: optimized geometry

Results
formation energy from raw total energies = -1822 kJ/mol of formula units

abc: 4.1959 8.5941 9.5326
angles: 104.18 102.71 90.00
Atoms (fractional coordinates):
P: 0.1655 0.3329 0.3310
P: 0.8345 0.6671 0.6690
C: 0.5000 0.0000 0.0000
La: 0.3310 0.4242 0.6619
La: 0.0013 0.2178 0.0026
La: 0.6690 0.5758 0.3381
La: 0.9987 0.7822 0.9974
La: 0.3481 0.9156 0.6963
La: 0.6519 0.0844 0.3037
Se: 0.8302 0.1647 0.6604
Se: 0.1698 0.8353 0.3396
Se: 0.5000 0.5000 0.0000

[6]
Compound: LaTc2PC
Source: Alexandria via LeMat-Bulk
Functional: PBE
Structure: optimized geometry

Results
formation energy from the elements = -0.5866 eV/atom

abc: 4.0227 5.8566 7.2722
angles: 90.00 90.00 110.09
Atoms (fractional coordinates):
Tc: 0.8274 0.6549 0.0603
Tc: 0.1726 0.3451 0.9397
Tc: 0.8274 0.6549 0.4397
Tc: 0.1726 0.3451 0.5603
C: 0.0000 0.0000 0.0000
C: 0.0000 0.0000 0.5000
P: 0.2673 0.5347 0.2500
P: 0.7327 0.4653 0.7500
La: 0.5438 0.0876 0.2500
La: 0.4562 0.9124 0.7500

[7]
Compound: La2Tc2P2C
Source: Alexandria via LeMat-Bulk
Functional: PBE
Structure: optimized geometry

Results
formation energy from the elements = -0.9041 eV/atom

abc: 4.0177 6.0236 6.3870
angles: 68.65 71.67 70.52
Atoms (fractional coordinates):
La: 0.4378 0.8123 0.3122
La: 0.5622 0.1877 0.6878
Tc: 0.1941 0.6941 0.9177
Tc: 0.8059 0.3059 0.0823
P: 0.1859 0.3605 0.2676
P: 0.8141 0.6395 0.7324
C: 0.0000 0.0000 0.0000

[8]
Compound: La2ZnPC
Source: Alexandria via LeMat-Bulk
Functional: PBE
Structure: optimized geometry

Results
formation energy from the elements = -0.2059 eV/atom

abc: 5.2695 3.8029 5.2695
angles: 90.00 90.00 90.00
Atoms (fractional coordinates):
Zn: 0.5000 0.5000 0.5000
C: 0.0000 0.0000 0.0000
La: 0.0000 0.0000 0.5000
La: 0.5000 0.0000 0.0000
P: 0.0000 0.5000 0.0000